# Pm6CdRu2 PBE relaxed
# Raw total energy: -5.5046 eV/atom
# Energy above the most stable polymorph in this dataset: 71 meV/atom
# Formation enthalpy at 0 K: -4.02 kcal/mol of atoms
# V: 27.26 A^3/atom
data_Pm6CdRu2
_space_group_name_H-M_alt 'P 1'
_space_group_IT_number 1
_cell_length_a 5.2484
_cell_length_b 5.7565
_cell_length_c 9.3030
_cell_angle_alpha 79.98
_cell_angle_beta 90.00
_cell_angle_gamma 117.12
loop_
_space_group_symop_operation_xyz
'x,y,z'
loop_
_atom_site_label
_atom_site_type_symbol
_atom_site_fract_x
_atom_site_fract_y
_atom_site_fract_z
Pm1 Pm 0.9606 0.9213 0.8462
Pm2 Pm 0.7093 0.4185 0.1632
Pm3 Pm 0.2907 0.5815 0.8368
Pm4 Pm 0.6597 0.3195 0.6160
Pm5 Pm 0.3403 0.6805 0.3840
Pm6 Pm 0.0394 0.0787 0.1538
Cd1 Cd 0.0000 0.0000 0.5000
Ru1 Ru 0.6132 0.2265 0.9022
Ru2 Ru 0.3868 0.7735 0.0978